Compound: ZnSbOs2
Source: Alexandria via LeMat-Bulk
Functional: GGA-PBE
Structure: relaxed

a = 4.9778 Å, b = 4.9778 Å, c = 4.9778 Å
α = 133.61°, β = 133.61°, γ = 67.70°
Closest atoms and distances in Å follow each position.
Atoms (fractional coordinates):
Zn 0.0000 0.0000 0.0000  8 Os 2.77-2.85, 4 Sb 2.85
Sb 0.7500 0.2500 0.5000  8 Os 2.77-2.85, 4 Zn 2.85
Os 0.2500 0.7500 0.5000  4 Sb 2.77, 4 Os 2.85, 4 Zn 2.85
Os 0.5000 0.5000 0.0000  4 Zn 2.77, 4 Sb 2.85, 4 Os 2.85

Calculated values
Uncorrected formation energy   0.60 eV per atom
Density   14.83 Mg/m³
Volume   15.89 Å³ per atom
Energy above the lowest structure with this stoichiometry   0.256 eV per atom
Spin magnetization   0.00 μB/cell
Calculated total energy   -6.367 eV per atom

=====

Compound: Tb2Pm4Sn3O2
Source: Alexandria via LeMat-Bulk
Functional: GGA-PBE
Structure: relaxed

a = 13.1558 Å, b = 13.1558 Å, c = 13.1558 Å
α = 159.10°, β = 159.10°, γ = 29.72°
Closest atoms and distances in Å follow each position.
Atoms (fractional coordinates):
Tb 0.1941 0.1941 0.0000  1 O 2.28
Tb 0.8059 0.8059 0.0000  1 O 2.28
Pm 0.0835 0.5835 0.5000  2 O 2.44
Pm 0.4165 0.9165 0.5000  2 O 2.44
Pm 0.5835 0.0835 0.5000  2 O 2.44
Pm 0.9165 0.4165 0.5000  2 O 2.44
Sn 0.3204 0.3204 0.0000  5 Tb 3.21-3.39, 4 Pm 3.42
Sn 0.5000 0.5000 0.0000  8 Pm 3.19
Sn 0.6796 0.6796 0.0000  5 Tb 3.21-3.39, 4 Pm 3.42
O 0.1043 0.1043 0.0000  1 Tb 2.28, 4 Pm 2.44
O 0.8957 0.8957 0.0000  1 Tb 2.28, 4 Pm 2.44

Calculated values
Uncorrected formation energy   -1.48 eV per atom
Density   7.38 Mg/m³
Volume   26.32 Å³ per atom
Spin magnetization   0.00 μB/cell
Calculated total energy   -6.043 eV per atom